A plane-wave DFT calculation with SCAN was carried out for a crystal of Be4CoCu relaxed with PBEsol.

Results
Its crystal system is cubic. The energy of formation comes out at -0.162 eV/atom. For the total energy, the calculation gives -8.48 eV per atom. The value obtained for the spin magnetization is 0.1735 μB per atom.

a = 5.863 Å, b = 5.863 Å, c = 5.863 Å
α = 90.00°, β = 90.00°, γ = 90.00°
Space group F-43m (No. 216)
Asymmetric unit:
Be 0.124 0.124 0.124 (multiplicity 16)
Co 0.250 0.250 0.750 (multiplicity 4)
Cu 0.000 0.000 0.500 (multiplicity 4)